Computed, not measured: Pr2GdSn after structural relaxation at the GGA-PBE level of DFT.

POSCAR file:
```
Pr2GdSn
1.0
0.0000 3.9422 3.9422
3.9422 0.0000 3.9422
3.9422 3.9422 0.0000
Pr Gd Sn
2 1 1
direct
0.2500 0.2500 0.2500
0.7500 0.7500 0.7500
0.0000 0.0000 0.0000
0.5000 0.5000 0.5000
```

Space-group type: Fm-3m, No. 225
Relative energy among the computed polymorphs, meV/atom: 152
DFT total energy, eV/atom: -7.210
ΔH_f (0 K), kJ/mol of formula units: -116

Computed, not measured: ZrHgPd2 after structural relaxation at the GGA-PBE level of DFT.

POSCAR file:
```
ZrHgPd2
1.0
-3.7218 3.7218 2.9133
3.7218 -3.7218 2.9133
3.7218 3.7218 -2.9133
Zr Hg Pd
2 2 4
direct
0.0000 0.0000 0.0000
0.7500 0.2500 0.5000
0.2500 0.7500 0.5000
0.5000 0.5000 0.0000
0.1102 0.6250 0.9852
0.3750 0.3602 0.4852
0.6398 0.1250 0.0148
0.8750 0.8898 0.5148
```

Space-group type: I-42d, No. 122
DFT total energy, eV/atom: -4.940
ΔH_f (0 K), kJ/mol of formula units: -51

Computed, not measured: PrZnGa4 after structural relaxation at the GGA-PBE level of DFT.

POSCAR file:
```
PrZnGa4
1.0
-2.2799 3.6065 3.9920
2.2799 -3.6065 3.9920
2.2799 3.6065 -3.9920
Pr Zn Ga
1 1 4
direct
0.0000 0.0000 0.0000
0.5000 0.0000 0.5000
0.0040 0.6968 0.3072
0.3895 0.6968 0.6928
0.6105 0.3032 0.3072
0.9960 0.3032 0.6928
```

Space-group type: Immm, No. 71
DFT total energy, eV/atom: -3.293
ΔH_f (0 K), kJ/mol of formula units: -154